(1)
## Pa2TlTe6 (PBE)

Data for crystalline Pa2TlTe6 at its relaxed geometry.

The structure belongs to space group P-3 (No. 147); the cell edges are 8.6639, 8.6639 and 4.2744 Å and the angles 90.00°, 90.00° and 120.00°. Symmetry generates all atoms from Pa at (0.3333, 0.6667, 0.2417), Tl at (0.0000, 0.0000, 0.0000) and Te at (0.0818, 0.3952, 0.7424).

The value obtained for the magnetic moment is 0.00 μB/f.u. The calculated volume is 30.874 Å³ per atom. The uncorrected formation energy comes out at -0.700 eV per atom. The raw total energy comes out at -46.51 eV/cell.


(2)
## Tm3PaTl4Te8 (PBE)

Data for crystalline Tm3PaTl4Te8 at its relaxed geometry.

The structure belongs to space group R-3m (No. 166, hexagonal axes); the cell edges are 8.7919, 8.7919 and 24.8143 Å and the angles 90.00°, 90.00° and 120.00°. Symmetry generates all atoms from Tm at (0.0000, 0.5000, 0.0000), Pa at (0.0000, 0.0000, 0.0000), Tl at (0.0000, 0.0000, 0.5000), Tl at (0.0000, 0.5000, 0.5000), Te at (0.0000, 0.0000, 0.2637) and Te at (0.0043, 0.5022, 0.2621).

The value obtained for the magnetic moment is 1.96 μB/f.u. The calculated volume is 34.607 Å³ per atom. The uncorrected formation energy comes out at -0.900 eV per atom. The raw total energy comes out at -215.72 eV/cell.


(3)
## Tm3PaTl3Te8 (PBE)

Data for crystalline Tm3PaTl3Te8 at its relaxed geometry.

The structure belongs to space group R-3m (No. 166, hexagonal axes); the cell edges are 8.7738, 8.7738 and 24.7808 Å and the angles 90.00°, 90.00° and 120.00°. Symmetry generates all atoms from Tm at (0.0000, 0.5000, 0.0000), Pa at (0.0000, 0.0000, 0.0000), Tl at (0.0000, 0.5000, 0.5000), Te at (0.0000, 0.0000, 0.2634) and Te at (0.0043, 0.5022, 0.2627).

The value obtained for the magnetic moment is 1.04 μB/f.u. The calculated volume is 36.712 Å³ per atom. The uncorrected formation energy comes out at -0.980 eV per atom. The raw total energy comes out at -209.54 eV/cell.


(4)
## Tm2PaTl2Te6 (PBE)

Data for crystalline Tm2PaTl2Te6 at its relaxed geometry.

The structure belongs to space group C2/m (No. 12); the cell edges are 7.572, 13.133 and 8.678 Å and the angles 90.00°, 106.94° and 90.00°. Symmetry generates all atoms from Tm at (0.000, 0.168, 0.000), Pa at (0.000, 0.500, 0.000), Tl at (0.000, 0.335, 0.500), Te at (0.233, 0.000, 0.211) and Te at (0.239, 0.333, 0.212).

The value obtained for the magnetic moment is 1.04 μB/f.u. The calculated volume is 37.522 Å³ per atom. The uncorrected formation energy comes out at -0.967 eV per atom. The raw total energy comes out at -105.32 eV/cell.


(5)
## UPa3Tl3Te8 (PBE)

Data for crystalline UPa3Tl3Te8 at its relaxed geometry.

The structure belongs to space group R-3m (No. 166, hexagonal axes); the cell edges are 8.5918, 8.5918 and 25.6953 Å and the angles 90.00°, 90.00° and 120.00°. Symmetry generates all atoms from U at (0.0000, 0.0000, 0.0000), Pa at (0.0000, 0.5000, 0.0000), Tl at (0.0000, 0.5000, 0.5000), Te at (0.0000, 0.0000, 0.2598) and Te at (0.0037, 0.5019, 0.2604).

The value obtained for the magnetic moment is 8.03 μB/f.u. The calculated volume is 36.502 Å³ per atom. The uncorrected formation energy comes out at -0.631 eV per atom. The raw total energy comes out at -244.40 eV/cell.


(6)
## U2PaTl3Te6 (PBE)

Data for crystalline U2PaTl3Te6 at its relaxed geometry.

The structure belongs to space group C2/m (No. 12); the cell edges are 7.496, 12.982 and 8.876 Å and the angles 90.00°, 106.34° and 90.00°. Symmetry generates all atoms from U at (0.000, 0.166, 0.000), Pa at (0.000, 0.500, 0.000), Tl at (0.000, 0.000, 0.500), Tl at (0.000, 0.332, 0.500), Te at (0.238, 0.334, 0.219) and Te at (0.242, 0.000, 0.220).

The value obtained for the magnetic moment is 8.01 μB/f.u. The calculated volume is 34.535 Å³ per atom. The uncorrected formation energy comes out at -0.556 eV per atom. The raw total energy comes out at -129.39 eV/cell.


(7)
## PaTl3V2Te6 (PBE)

Data for crystalline PaTl3V2Te6 at its relaxed geometry.

The structure belongs to space group C2/m (No. 12); the cell edges are 7.236, 12.481 and 8.616 Å and the angles 90.00°, 106.26° and 90.00°. Symmetry generates all atoms from Pa at (0.000, 0.000, 0.000), Tl at (0.000, 0.157, 0.500), Tl at (0.000, 0.500, 0.500), V at (0.000, 0.332, 0.000), Te at (0.209, 0.500, 0.194) and Te at (0.244, 0.177, 0.200).

The value obtained for the magnetic moment is 6.03 μB/f.u. The calculated volume is 31.125 Å³ per atom. The uncorrected formation energy comes out at -0.442 eV per atom. The raw total energy comes out at -117.98 eV/cell.


(8)
## Y3PaTl4Te8 (PBE)

Data for crystalline Y3PaTl4Te8 at its relaxed geometry.

The structure belongs to space group R-3m (No. 166, hexagonal axes); the cell edges are 8.8546, 8.8546 and 24.8094 Å and the angles 90.00°, 90.00° and 120.00°. Symmetry generates all atoms from Y at (0.0000, 0.5000, 0.0000), Pa at (0.0000, 0.0000, 0.0000), Tl at (0.0000, 0.0000, 0.5000), Tl at (0.0000, 0.5000, 0.5000), Te at (0.0000, 0.0000, 0.2622) and Te at (0.0006, 0.5003, 0.2613).

The value obtained for the magnetic moment is 1.99 μB/f.u. The calculated volume is 35.096 Å³ per atom. The uncorrected formation energy comes out at -0.935 eV per atom. The raw total energy comes out at -235.36 eV/cell.


(9)
## YPa3Tl3Te8 (PBE)

Data for crystalline YPa3Tl3Te8 at its relaxed geometry.

The structure belongs to space group R-3m (No. 166, hexagonal axes); the cell edges are 8.6745, 8.6745 and 25.4395 Å and the angles 90.00°, 90.00° and 120.00°. Symmetry generates all atoms from Y at (0.0000, 0.0000, 0.0000), Pa at (0.0000, 0.5000, 0.0000), Tl at (0.0000, 0.5000, 0.5000), Te at (0.0000, 0.0000, 0.2601) and Te at (0.0013, 0.5006, 0.2612).

The value obtained for the magnetic moment is 5.04 μB/f.u. The calculated volume is 36.839 Å³ per atom. The uncorrected formation energy comes out at -0.764 eV per atom. The raw total energy comes out at -235.95 eV/cell.


(10)
## Y2PaTl3Te6 (PBE)

Data for crystalline Y2PaTl3Te6 at its relaxed geometry.

The structure belongs to space group C2/m (No. 12); the cell edges are 7.655, 13.258 and 8.681 Å and the angles 90.00°, 107.07° and 90.00°. Symmetry generates all atoms from Y at (0.000, 0.167, 0.000), Pa at (0.000, 0.500, 0.000), Tl at (0.000, 0.000, 0.500), Tl at (0.000, 0.333, 0.500), Te at (0.239, 0.000, 0.216) and Te at (0.239, 0.333, 0.216).

The value obtained for the magnetic moment is 2.03 μB/f.u. The calculated volume is 35.096 Å³ per atom. The uncorrected formation energy comes out at -0.891 eV per atom. The raw total energy comes out at -118.13 eV/cell.


(11)
## Pa3Tl3ZnTe8 (PBE)

Data for crystalline Pa3Tl3ZnTe8 at its relaxed geometry.

The structure belongs to space group R-3m (No. 166, hexagonal axes); the cell edges are 8.7197, 8.7197 and 25.1046 Å and the angles 90.00°, 90.00° and 120.00°. Symmetry generates all atoms from Pa at (0.0000, 0.5000, 0.0000), Tl at (0.0000, 0.5000, 0.5000), Zn at (0.0000, 0.0000, 0.0000), Te at (0.0000, 0.0000, 0.2602) and Te at (0.0098, 0.5049, 0.7348).

The value obtained for the magnetic moment is 3.77 μB/f.u. The calculated volume is 36.734 Å³ per atom. The uncorrected formation energy comes out at -0.555 eV per atom. The raw total energy comes out at -210.97 eV/cell.


(12)
## ZrPa3Tl3Te8 (PBE)

Data for crystalline ZrPa3Tl3Te8 at its relaxed geometry.

The structure belongs to space group R-3m (No. 166, hexagonal axes); the cell edges are 8.4528, 8.4528 and 25.9827 Å and the angles 90.00°, 90.00° and 120.00°. Symmetry generates all atoms from Zr at (0.0000, 0.0000, 0.0000), Pa at (0.0000, 0.5000, 0.0000), Tl at (0.0000, 0.5000, 0.5000), Te at (0.0000, 0.0000, 0.2591) and Te at (0.0105, 0.5052, 0.7376).

The value obtained for the magnetic moment is 5.84 μB/f.u. The calculated volume is 35.727 Å³ per atom. The uncorrected formation energy comes out at -0.672 eV per atom. The raw total energy comes out at -238.06 eV/cell.